Computed, not measured: a relaxed VFe2W crystal at the PBE-GGA level of DFT.

The total energy is -9.784 eV per atom.

The space group is P4/mmm (No. 123) and the conventional cell measures 2.7746, 2.7746 and 6.4591 Å, with angles of 90.00, 90.00 and 90.00 degrees. Symmetry generates all atoms from V at (0.0000, 0.0000, 0.0000), Fe at (0.5000, 0.5000, 0.2157) and W at (0.0000, 0.0000, 0.5000).